Entry 1:
Compound: PrNd2Bi
Source: the Alexandria database
Functional: PBE-GGA
Structure: relaxed

Geometry as CIF:
```
data_PrNd2Bi
_chemical_formula_sum 'Pr4 Nd8 Bi4'
_cell_length_a 4.751
_cell_length_b 24.064
_cell_length_c 4.728
_cell_angle_alpha 90.00
_cell_angle_beta 90.00
_cell_angle_gamma 90.00
_space_group_name_H-M_alt 'C m c m'
_space_group_IT_number 63
_space_group_name_Hall '-C 2c 2'
loop_
_atom_site_label
_atom_site_fract_x
_atom_site_fract_y
_atom_site_fract_z
Pr1 0.000 0.194 0.250
Nd1 0.000 0.064 0.750
Nd2 0.000 0.442 0.750
Bi1 0.000 0.332 0.250
```

**ΔE to the lowest computed polymorph**: 0.000 eV/atom
**Magnetization**: 0.0 μB per formula unit
**E_form**: -0.459 eV/atom
**Total energy**: -5.008 eV per atom



Entry 2:
Compound: CoAgAu4
Source: the Alexandria database
Functional: PBE-GGA
Structure: relaxed

Geometry as CIF:
```
data_CoAgAu4
_chemical_formula_sum 'Co4 Ag4 Au16'
_cell_length_a 7.705
_cell_length_b 7.705
_cell_length_c 7.705
_cell_angle_alpha 90.00
_cell_angle_beta 90.00
_cell_angle_gamma 90.00
_space_group_name_H-M_alt 'F -4 3 m'
_space_group_IT_number 216
_space_group_name_Hall 'F -4 2 3'
loop_
_atom_site_label
_atom_site_fract_x
_atom_site_fract_y
_atom_site_fract_z
Co1 0.000 0.000 0.000
Ag1 0.250 0.250 0.250
Au1 0.125 0.125 0.625
```

**Magnetization**: 2.2 μB per formula unit
**E_form**: 0.372 eV/atom
**Total energy**: -3.472 eV per atom



Entry 3:
Compound: Na2Mg3Pb4
Source: the Alexandria database
Functional: PBE-GGA
Structure: relaxed

Geometry as CIF:
```
data_Na2Mg3Pb4
_chemical_formula_sum 'Na8 Mg12 Pb16'
_cell_length_a 6.800
_cell_length_b 18.206
_cell_length_c 8.600
_cell_angle_alpha 90.00
_cell_angle_beta 90.00
_cell_angle_gamma 90.00
_space_group_name_H-M_alt 'C m c e'
_space_group_IT_number 64
_space_group_name_Hall '-C 2ac 2'
loop_
_atom_site_label
_atom_site_fract_x
_atom_site_fract_y
_atom_site_fract_z
Na1 0.000 0.099 0.100
Mg1 0.000 0.000 0.500
Mg2 0.250 0.235 0.750
Pb1 0.000 0.170 0.483
Pb2 0.250 0.066 0.750
```

**Magnetization**: 0.0 μB per formula unit
**E_form**: -0.054 eV/atom
**Total energy**: -2.527 eV per atom



What did the second record say?
Compound: CoAgAu4
Source: the Alexandria database
Functional: PBE-GGA
Structure: relaxed

Geometry as CIF:
```
data_CoAgAu4
_chemical_formula_sum 'Co4 Ag4 Au16'
_cell_length_a 7.705
_cell_length_b 7.705
_cell_length_c 7.705
_cell_angle_alpha 90.00
_cell_angle_beta 90.00
_cell_angle_gamma 90.00
_space_group_name_H-M_alt 'F -4 3 m'
_space_group_IT_number 216
_space_group_name_Hall 'F -4 2 3'
loop_
_atom_site_label
_atom_site_fract_x
_atom_site_fract_y
_atom_site_fract_z
Co1 0.000 0.000 0.000
Ag1 0.250 0.250 0.250
Au1 0.125 0.125 0.625
```

**Magnetization**: 2.2 μB per formula unit
**E_form**: 0.372 eV/atom
**Total energy**: -3.472 eV per atom



> The highest magnetization belongs to which entry?

CoAgAu4



> Look up the total energy of the second one.

-3.472 eV per atom